(1)
A relaxed K3Pr2PuS6 crystal. Source: Alexandria, functional PBE.

Summary:
- E_form (uncorrected) (eV per atom) = -1.74
- N(E_F) (states/eV per cell) = 24.3
- calculated volume (Å³/cell) = 677

Cell: 7.2804 12.6087 7.7609 Å, 90.00 108.24 90.00°
Space group C2/m (No. 12)
Symmetry-distinct sites (fractional):
1 K 0.0000 0.0000 0.0000 (multiplicity 2)
2 K 0.0000 0.3325 0.0000 (multiplicity 4)
3 Pr 0.0000 0.1665 0.5000 (multiplicity 4)
4 Pu 0.0000 0.5000 0.5000 (multiplicity 2)
5 S 0.2320 0.3367 0.7063 (multiplicity 8)
6 S 0.2423 0.0000 0.7061 (multiplicity 4)

=====

(2)
A relaxed NbTl3Zn crystal. Source: Alexandria, functional PBE.

Summary:
- formation enthalpy at 0 K (eV/atom) = 0.74
- ΔE to the lowest computed polymorph (meV per atom) = 0
- N(E_F) (states/eV per cell) = 5.9
- calculated volume (Å³/cell) = 174

Cell: 5.5794 5.5794 5.5794 Å, 90.00 90.00 90.00°
Space group Pm-3m (No. 221)
Symmetry-distinct sites (fractional):
1 Nb 0.0000 0.0000 0.0000 (multiplicity 1)
2 Tl 0.0000 0.0000 0.5000 (multiplicity 3)
3 Zn 0.5000 0.5000 0.5000 (multiplicity 1)

=====

(3)
A relaxed Ca3Pd2Au crystal. Source: Alexandria, functional PBE.

Summary:
- formation enthalpy at 0 K (eV/atom) = -0.71
- ΔE to the lowest computed polymorph (meV per atom) = 5
- N(E_F) (states/eV per cell) = 3.4
- calculated volume (Å³/cell) = 136

Cell: 3.5616 3.5616 10.7557 Å, 90.00 90.00 90.00°
Space group P4/mmm (No. 123)
Symmetry-distinct sites (fractional):
1 Ca 0.0000 0.0000 0.0000 (multiplicity 1)
2 Ca 0.0000 0.0000 0.3235 (multiplicity 2)
3 Pd 0.5000 0.5000 0.1627 (multiplicity 2)
4 Au 0.5000 0.5000 0.5000 (multiplicity 1)

=====

(4)
A relaxed Ac2LaPr2Nd4 crystal. Source: Alexandria, functional PBE.

Summary:
- formation enthalpy at 0 K (eV/atom) = 0.02
- N(E_F) (states/eV per cell) = 25.9
- calculated volume (Å³/cell) = 684

Cell: 19.6956 3.8117 10.1157 Å, 90.00 115.74 90.00°
Space group C2/m (No. 12)
Symmetry-distinct sites (fractional):
1 Ac 0.1467 0.0000 0.1650 (multiplicity 4)
2 La 0.0000 0.0000 0.5000 (multiplicity 2)
3 Pr 0.1660 0.5000 0.5054 (multiplicity 4)
4 Nd 0.0182 0.5000 0.8246 (multiplicity 4)
5 Nd 0.1834 0.0000 0.8316 (multiplicity 4)

=====

(5)
A relaxed KRhPb2 crystal. Source: Alexandria, functional PBE.

Summary:
- formation enthalpy at 0 K (eV/atom) = -0.11
- N(E_F) (states/eV per cell) = 3.8
- calculated volume (Å³/cell) = 105

Cell: 3.4789 3.5122 8.6273 Å, 90.00 90.00 90.00°
Space group Pmmm (No. 47)
Symmetry-distinct sites (fractional):
1 K 0.0000 0.0000 0.0000 (multiplicity 1)
2 Rh 0.0000 0.0000 0.5000 (multiplicity 1)
3 Pb 0.5000 0.5000 0.3152 (multiplicity 2)

=====

(6)
A relaxed RbMnH2 crystal. Source: Alexandria, functional PBE.

Summary:
- ΔE to the lowest computed polymorph (meV per atom) = 696
- N(E_F) (states/eV per cell) = 10.1
- calculated volume (Å³/cell) = 282

Cell: 6.5565 6.5565 6.5565 Å, 90.00 90.00 90.00°
Space group Fm-3m (No. 225)
Symmetry-distinct sites (fractional):
1 Rb 0.0000 0.0000 0.0000 (multiplicity 4)
2 Mn 0.0000 0.0000 0.5000 (multiplicity 4)
3 H 0.2500 0.2500 0.2500 (multiplicity 8)

=====

(7)
A relaxed HoEr4Tm2Pu crystal. Source: Alexandria, functional PBE.

Summary:
- formation enthalpy at 0 K (eV/atom) = 0.48
- N(E_F) (states/eV per cell) = 79.9
- calculated volume (Å³/cell) = 1001

Cell: 6.6710 11.5578 12.9868 Å, 90.00 90.00 90.00°
Space group Imma (No. 74)
Symmetry-distinct sites (fractional):
1 Ho 0.2500 0.2500 0.2500 (multiplicity 4)
2 Er 0.0000 0.0009 0.7414 (multiplicity 8)
3 Er 0.2412 0.2500 0.5011 (multiplicity 8)
4 Tm 0.0000 0.0000 0.0000 (multiplicity 4)
5 Tm 0.2500 0.2500 0.7500 (multiplicity 4)
6 Pu 0.0000 0.0000 0.5000 (multiplicity 4)

=====

(8)
A relaxed Hf2HIrAu crystal. Source: Alexandria, functional PBE.

Summary:
- E (eV per formula unit) = -37.82
- N(E_F) (states/eV per cell) = 3.9
- calculated volume (Å³/cell) = 76

Cell: 4.5152 4.5152 3.7427 Å, 90.00 90.00 90.00°
Space group P4/mmm (No. 123)
Symmetry-distinct sites (fractional):
1 Hf 0.0000 0.5000 0.0000 (multiplicity 2)
2 H 0.0000 0.0000 0.0000 (multiplicity 1)
3 Ir 0.0000 0.0000 0.5000 (multiplicity 1)
4 Au 0.5000 0.5000 0.5000 (multiplicity 1)